! CoCuPt2 PBEsol relaxed; values from VASP
&SYSTEM
  ibrav = 0, nat = 4, ntyp = 3
/
ATOMIC_SPECIES
Cu 63.55 Cu.upf
Co 58.93 Co.upf
Pt 195.08 Pt.upf
CELL_PARAMETERS angstrom
-0.925 -1.259 2.181
-0.083 -2.681 0.068
7.501 -1.473 3.981
ATOMIC_POSITIONS crystal
Cu 0.000 0.000 0.000
Co 0.500 0.500 0.500
Pt 0.751 0.751 0.747
Pt 0.249 0.249 0.253
! spin magnetization = 2.216 μB/cell
! formation energy from the elements = -0.30 eV per formula unit
! calculated volume = 52.85 Å³/cell